[1]
# GGA-PBE La2NdZn2Ag2, optimized geometry
# - Crystal system: trigonal
# - Total energy: -73.7 eV per cell
data_La2NdZn2Ag2
_space_group_name_H-M_alt 'R -3 m'
_space_group_IT_number 166
_space_group_name_Hall '-R 3 2"'
_cell_length_a 4.7262
_cell_length_b 4.7262
_cell_length_c 27.7851
_cell_angle_alpha 90.00
_cell_angle_beta 90.00
_cell_angle_gamma 120.00
loop_
_atom_site_label
_atom_site_type_symbol
_atom_site_fract_x
_atom_site_fract_y
_atom_site_fract_z
_atom_site_occupancy
La1 La 0.0000 0.0000 0.1242 1
Nd1 Nd 0.0000 0.0000 0.0000 1
Zn1 Zn 0.0000 0.0000 0.2655 1
Ag1 Ag 0.0000 0.0000 0.3954 1

---

[2]
# GGA-PBE LaNd2Zn2Ag2, optimized geometry
# - Crystal system: trigonal
# - Total energy: -73.1 eV per cell
data_LaNd2Zn2Ag2
_space_group_name_H-M_alt 'R -3 m'
_space_group_IT_number 166
_space_group_name_Hall '-R 3 2"'
_cell_length_a 4.7188
_cell_length_b 4.7188
_cell_length_c 27.8414
_cell_angle_alpha 90.00
_cell_angle_beta 90.00
_cell_angle_gamma 120.00
loop_
_atom_site_label
_atom_site_type_symbol
_atom_site_fract_x
_atom_site_fract_y
_atom_site_fract_z
_atom_site_occupancy
La1 La 0.0000 0.0000 0.0000 1
Nd1 Nd 0.0000 0.0000 0.1253 1
Zn1 Zn 0.0000 0.0000 0.2592 1
Ag1 Ag 0.0000 0.0000 0.4019 1

---

[3]
# GGA-PBE La7Ni2Ag2, optimized geometry
# - Crystal system: orthorhombic
# - Total energy: -106.1 eV per cell
data_La7Ni2Ag2
_space_group_name_H-M_alt 'C m m m'
_space_group_IT_number 65
_space_group_name_Hall '-C 2 2'
_cell_length_a 7.919
_cell_length_b 11.762
_cell_length_c 7.208
_cell_angle_alpha 90.00
_cell_angle_beta 90.00
_cell_angle_gamma 90.00
loop_
_atom_site_label
_atom_site_type_symbol
_atom_site_fract_x
_atom_site_fract_y
_atom_site_fract_z
_atom_site_occupancy
La1 La 0.000 0.000 0.000 1
La2 La 0.000 0.500 0.238 1
La3 La 0.250 0.250 0.258 1
Ni1 Ni 0.000 0.297 0.000 1
Ag1 Ag 0.172 0.000 0.500 1